## MgWSeN2 (PBE)

Data for an optimized crystal structure of MgWSeN2.

a = 3.8482 Å, b = 3.8482 Å, c = 4.8960 Å
α = 90.00°, β = 90.00°, γ = 90.00°
Positions (direct):
Mg1 0.0000 0.0000 0.0000
W1 0.5000 0.5000 0.5000
Se1 0.0000 0.0000 0.5000
N1 0.0000 0.5000 0.0000
N2 0.5000 0.0000 0.0000

Calculated values
Total moment in μB per atom: 0.000
Energy relative to the lowest polymorph listed for this composition in kJ/mol of atoms: 175.4
Electronic total energy in eV/cell: -25.853
Space group: P4/mmm (123)

## MgZnSe2N (PBE)

Data for an optimized crystal structure of MgZnSe2N.

a = 5.1818 Å, b = 5.1818 Å, c = 3.7363 Å
α = 90.00°, β = 90.00°, γ = 90.00°
Positions (direct):
Mg1 0.0000 0.0000 0.0000
Zn1 0.5000 0.5000 0.5000
Se1 0.0000 0.5000 0.5000
Se2 0.5000 0.0000 0.5000
N1 0.5000 0.5000 0.0000

Calculated values
Total moment in μB per atom: 0.443
Energy relative to the lowest polymorph listed for this composition in kJ/mol of atoms: 0.0
Electronic total energy in eV/cell: -15.891
Space group: P4/mmm (123)

## MgZnSe2N (PBE)

Data for an optimized crystal structure of MgZnSe2N.

a = 5.1735 Å, b = 5.1735 Å, c = 3.9778 Å
α = 90.00°, β = 90.00°, γ = 90.00°
Positions (direct):
Mg1 0.0000 0.0000 0.0000
Zn1 0.5000 0.5000 0.5000
Se1 0.0000 0.5000 0.0000
Se2 0.5000 0.0000 0.0000
N1 0.0000 0.0000 0.5000

Calculated values
Total moment in μB per atom: 0.476
Energy relative to the lowest polymorph listed for this composition in kJ/mol of atoms: 20.0
Electronic total energy in eV/cell: -14.855
Space group: P4/mmm (123)

## MgZrSeN2 (PBE)

Data for an optimized crystal structure of MgZrSeN2.

a = 4.1146 Å, b = 4.1146 Å, c = 5.6959 Å
α = 90.00°, β = 90.00°, γ = 90.00°
Positions (direct):
Mg1 0.0000 0.0000 0.0000
Zr1 0.5000 0.5000 0.5000
Se1 0.5000 0.5000 0.0000
N1 0.0000 0.5000 0.5000
N2 0.5000 0.0000 0.5000

Calculated values
Total moment in μB per atom: 0.070
Energy relative to the lowest polymorph listed for this composition in kJ/mol of atoms: 0.0
Electronic total energy in eV/cell: -30.591
Space group: P4/mmm (123)

## MgZrSeN2 (PBE)

Data for an optimized crystal structure of MgZrSeN2.

a = 3.9386 Å, b = 3.9386 Å, c = 4.9675 Å
α = 90.00°, β = 90.00°, γ = 90.00°
Positions (direct):
Mg1 0.0000 0.0000 0.0000
Zr1 0.5000 0.5000 0.5000
Se1 0.0000 0.0000 0.5000
N1 0.0000 0.5000 0.0000
N2 0.5000 0.0000 0.0000

Calculated values
Total moment in μB per atom: 0.056
Energy relative to the lowest polymorph listed for this composition in kJ/mol of atoms: 64.2
Electronic total energy in eV/cell: -27.264
Space group: P4/mmm (123)

## Mg2SiN (PBE)

Data for an optimized crystal structure of Mg2SiN.

a = 4.3976 Å, b = 4.3976 Å, c = 4.3976 Å
α = 60.00°, β = 60.00°, γ = 60.00°
Positions (direct):
Mg1 0.2500 0.2500 0.2500
Mg2 0.7500 0.7500 0.7500
Si1 0.0000 0.0000 0.0000
N1 0.5000 0.5000 0.5000

Calculated values
Total moment in μB per atom: 0.000
Energy relative to the lowest polymorph listed for this composition in kJ/mol of atoms: 55.1
Electronic total energy in eV/cell: -14.384
Space group: Fm-3m (225)

## MgSiN (PBE)

Data for an optimized crystal structure of MgSiN.

a = 3.2483 Å, b = 3.2483 Å, c = 6.7558 Å
α = 90.00°, β = 90.00°, γ = 90.00°
Positions (direct):
Mg1 0.2500 0.2500 0.1426
Mg2 0.7500 0.7500 0.8574
Si1 0.2500 0.2500 0.5691
Si2 0.7500 0.7500 0.4309
N1 0.2500 0.2500 0.8255
N2 0.7500 0.7500 0.1745

Calculated values
Total moment in μB per atom: 0.000
Electronic total energy in eV/cell: -34.120
Space group: P4/nmm (129)

## MgSi3N (PBE)

Data for an optimized crystal structure of MgSi3N.

a = 4.7858 Å, b = 4.7858 Å, c = 4.7858 Å
α = 90.00°, β = 90.00°, γ = 90.00°
Positions (direct):
Mg1 0.0000 0.0000 0.0000
Si1 0.0000 0.0000 0.5000
Si2 0.0000 0.5000 0.0000
Si3 0.5000 0.0000 0.0000
N1 0.5000 0.5000 0.5000

Calculated values
Total moment in μB per atom: 0.000
Energy relative to the lowest polymorph listed for this composition in kJ/mol of atoms: 156.4
Electronic total energy in eV/cell: -15.127
Space group: Pm-3m (221)

## Mg5Si2N6 (PBE)

Data for an optimized crystal structure of Mg5Si2N6.

a = 5.4016 Å, b = 5.4016 Å, c = 12.0840 Å
α = 94.21°, β = 94.21°, γ = 58.79°
Positions (direct):
Mg1 0.1105 0.8895 0.7500
Mg2 0.1602 0.6479 0.9777
Mg3 0.2772 0.4312 0.2819
Mg4 0.3521 0.8398 0.5223
Mg5 0.4312 0.2772 0.7819
Mg6 0.5688 0.7228 0.2181
Mg7 0.6479 0.1602 0.4777
Mg8 0.7228 0.5688 0.7181
Mg9 0.8398 0.3521 0.0223
Mg10 0.8895 0.1105 0.2500
Si1 0.1422 0.4300 0.5853
Si2 0.4300 0.1422 0.0853
Si3 0.5700 0.8578 0.9147
Si4 0.8578 0.5700 0.4147
N1 0.1269 0.2081 0.6765
N2 0.2046 0.2577 0.4490
N3 0.2081 0.1269 0.1765
N4 0.2577 0.2046 0.9490
N5 0.3950 0.5210 0.6293
N6 0.4790 0.6050 0.8707
N7 0.5210 0.3950 0.1293
N8 0.6050 0.4790 0.3707
N9 0.7423 0.7954 0.0510
N10 0.7919 0.8731 0.8235
N11 0.7954 0.7423 0.5510
N12 0.8731 0.7919 0.3235

Calculated values
Total moment in μB per atom: 0.000
Electronic total energy in eV/cell: -160.400
Space group: C2/c (15)

## MgSi3N (PBE)

Data for an optimized crystal structure of MgSi3N.

a = 4.1586 Å, b = 4.1586 Å, c = 4.1586 Å
α = 90.00°, β = 90.00°, γ = 90.00°
Positions (direct):
Mg1 0.0000 0.0000 0.0000
Si1 0.0000 0.5000 0.5000
Si2 0.5000 0.0000 0.5000
Si3 0.5000 0.5000 0.0000
N1 0.5000 0.5000 0.5000

Calculated values
Total moment in μB per atom: 0.000
Energy relative to the lowest polymorph listed for this composition in kJ/mol of atoms: 0.0
Electronic total energy in eV/cell: -23.230
Space group: Pm-3m (221)

## Mg2SiN (PBE)

Data for an optimized crystal structure of Mg2SiN.

a = 5.8058 Å, b = 5.8058 Å, c = 5.8058 Å
α = 116.86°, β = 116.86°, γ = 95.54°
Positions (direct):
Mg1 0.0100 0.6250 0.8850
Mg2 0.3750 0.2600 0.3850
Mg3 0.7400 0.1250 0.1150
Mg4 0.8750 0.9900 0.6150
Si1 0.2500 0.7500 0.5000
Si2 0.5000 0.5000 0.0000
N1 0.0000 0.0000 0.0000
N2 0.7500 0.2500 0.5000

Calculated values
Total moment in μB per atom: 0.000
Energy relative to the lowest polymorph listed for this composition in kJ/mol of atoms: 0.0
Electronic total energy in eV/cell: -33.335
Space group: I-42d (122)

## Mg3SiN (PBE)

Data for an optimized crystal structure of Mg3SiN.

a = 4.2516 Å, b = 4.2516 Å, c = 4.2516 Å
α = 90.00°, β = 90.00°, γ = 90.00°
Positions (direct):
Mg1 0.0000 0.0000 0.5000
Mg2 0.0000 0.5000 0.0000
Mg3 0.5000 0.0000 0.0000
Si1 0.5000 0.5000 0.5000
N1 0.0000 0.0000 0.0000

Calculated values
Total moment in μB per atom: 0.000
Energy relative to the lowest polymorph listed for this composition in kJ/mol of atoms: 0.0
Electronic total energy in eV/cell: -20.298
Space group: Pm-3m (221)

## Mg2SiSnN4 (PBE)

Data for an optimized crystal structure of Mg2SiSnN4.

a = 5.7691 Å, b = 5.7691 Å, c = 5.7691 Å
α = 133.57°, β = 133.57°, γ = 67.76°
Positions (direct):
Mg1 0.2500 0.7500 0.5000
Mg2 0.7500 0.2500 0.5000
Si1 0.0000 0.0000 0.0000
Sn1 0.5000 0.5000 0.0000
N1 0.1053 0.6675 0.0000
N2 0.3325 0.3325 0.4378
N3 0.6675 0.1053 0.0000
N4 0.8947 0.8947 0.5622

Calculated values
Total moment in μB per atom: 0.000
Electronic total energy in eV/cell: -51.511
Space group: I-42m (121)

## SrMg3SiN4 (PBE)

Data for an optimized crystal structure of SrMg3SiN4.

a = 10.6820 Å, b = 10.6820 Å, c = 10.6820 Å
α = 114.10°, β = 114.10°, γ = 100.57°
Positions (direct):
Sr1 0.0869 0.8140 0.7487
Sr2 0.1618 0.4131 0.2270
Sr3 0.3140 0.0653 0.7270
Sr4 0.4347 0.6618 0.2487
Sr5 0.5653 0.3382 0.7513
Sr6 0.6860 0.9347 0.2730
Sr7 0.8382 0.5869 0.7730
Sr8 0.9131 0.1860 0.2513
Mg1 0.0339 0.4645 0.6225
Mg2 0.0355 0.1580 0.5694
Mg3 0.0886 0.4661 0.9306
Mg4 0.1502 0.0813 0.1111
Mg5 0.1763 0.7899 0.1076
Mg6 0.1823 0.0687 0.3924
Mg7 0.2899 0.6823 0.6136
Mg8 0.3420 0.4114 0.8775
Mg9 0.4187 0.0298 0.0689
Mg10 0.4313 0.3237 0.1136
Mg11 0.4609 0.3498 0.4311
Mg12 0.4702 0.0391 0.3889
Mg13 0.5298 0.9609 0.6111
Mg14 0.5391 0.6502 0.5689
Mg15 0.5687 0.6763 0.8864
Mg16 0.5813 0.9702 0.9311
Mg17 0.6580 0.5886 0.1225
Mg18 0.7101 0.3177 0.3864
Mg19 0.8177 0.9313 0.6076
Mg20 0.8237 0.2101 0.8924
Mg21 0.8498 0.9187 0.8889
Mg22 0.9114 0.5339 0.0694
Mg23 0.9645 0.8420 0.4306
Mg24 0.9661 0.5355 0.3775
Si1 0.1211 0.1579 0.8913
Si2 0.2334 0.7702 0.3913
Si3 0.2702 0.3789 0.5368
Si4 0.3421 0.7334 0.9632
Si5 0.6579 0.2666 0.0368
Si6 0.7298 0.6211 0.4632
Si7 0.7666 0.2298 0.6087
Si8 0.8789 0.8421 0.1087
N1 0.0127 0.8730 0.0526
N2 0.0428 0.0349 0.6799
N3 0.1236 0.7532 0.4767
N4 0.1370 0.4572 0.4920
N5 0.1450 0.6370 0.1799
N6 0.1469 0.6236 0.8705
N7 0.2235 0.3531 0.9767
N8 0.2339 0.2396 0.3446
N9 0.2532 0.2765 0.6295
N10 0.2604 0.1050 0.9943
N11 0.3205 0.9601 0.4474
N12 0.3730 0.8205 0.8603
N13 0.3893 0.7339 0.4943
N14 0.3950 0.8893 0.1554
N15 0.4601 0.5127 0.6397
N16 0.4651 0.6450 0.0080
N17 0.5349 0.3550 0.9920
N18 0.5399 0.4873 0.3603
N19 0.6050 0.1107 0.8446
N20 0.6107 0.2661 0.5057
N21 0.6270 0.1795 0.1397
N22 0.6795 0.0399 0.5526
N23 0.7396 0.8950 0.0057
N24 0.7468 0.7235 0.3705
N25 0.7661 0.7604 0.6554
N26 0.7765 0.6469 0.0233
N27 0.8531 0.3764 0.1295
N28 0.8550 0.3630 0.8201
N29 0.8630 0.5428 0.5080
N30 0.8764 0.2468 0.5233
N31 0.9572 0.9651 0.3201
N32 0.9873 0.1270 0.9474

Calculated values
Total moment in μB per atom: 0.000
Electronic total energy in eV/cell: -433.006
Space group: I4_1/a (88)

## MgSiTeN2 (PBE)

Data for an optimized crystal structure of MgSiTeN2.

a = 4.1336 Å, b = 4.1336 Å, c = 5.9594 Å
α = 90.00°, β = 90.00°, γ = 90.00°
Positions (direct):
Mg1 0.0000 0.0000 0.0000
Si1 0.5000 0.5000 0.5000
Te1 0.0000 0.0000 0.5000
N1 0.0000 0.5000 0.0000
N2 0.5000 0.0000 0.0000

Calculated values
Total moment in μB per atom: 0.725
Energy relative to the lowest polymorph listed for this composition in kJ/mol of atoms: 87.4
Electronic total energy in eV/cell: -19.858
Space group: P4/mmm (123)

## MgSiTeN2 (PBE)

Data for an optimized crystal structure of MgSiTeN2.

a = 3.6863 Å, b = 3.6863 Å, c = 5.8951 Å
α = 90.00°, β = 90.00°, γ = 90.00°
Positions (direct):
Mg1 0.0000 0.0000 0.0000
Si1 0.5000 0.5000 0.5000
Te1 0.5000 0.5000 0.0000
N1 0.0000 0.5000 0.5000
N2 0.5000 0.0000 0.5000

Calculated values
Total moment in μB per atom: 0.046
Energy relative to the lowest polymorph listed for this composition in kJ/mol of atoms: 0.0
Electronic total energy in eV/cell: -24.388
Space group: P4/mmm (123)

## Y2MgSiN (PBE)

Data for an optimized crystal structure of Y2MgSiN.

a = 4.7578 Å, b = 4.7578 Å, c = 4.2112 Å
α = 90.00°, β = 90.00°, γ = 90.00°
Positions (direct):
Y1 0.0000 0.5000 0.0000
Y2 0.5000 0.0000 0.0000
Mg1 0.0000 0.0000 0.5000
Si1 0.5000 0.5000 0.5000
N1 0.0000 0.0000 0.0000

Calculated values
Total moment in μB per atom: 0.000
Electronic total energy in eV/cell: -32.526
Space group: P4/mmm (123)

## Sm4Mg2N (PBE)

Data for an optimized crystal structure of Sm4Mg2N.

a = 8.6483 Å, b = 8.6483 Å, c = 8.6483 Å
α = 146.18°, β = 146.18°, γ = 48.57°
Positions (direct):
Sm1 0.0000 0.5000 0.5000
Sm2 0.1516 0.1516 0.0000
Sm3 0.5000 0.0000 0.5000
Sm4 0.8484 0.8484 0.0000
Mg1 0.3653 0.3653 0.0000
Mg2 0.6347 0.6347 0.0000
N1 0.0000 0.0000 0.0000

Calculated values
Total moment in μB per atom: 0.000
Electronic total energy in eV/cell: -32.628
Space group: I4/mmm (139)

## Sm6Mg2N (PBE)

Data for an optimized crystal structure of Sm6Mg2N.

a = 7.1401 Å, b = 7.1379 Å, c = 12.3224 Å
α = 90.00°, β = 125.37°, γ = 90.00°
Positions (direct):
Sm1 0.2218 0.0001 0.2570
Sm2 0.2218 0.4999 0.7570
Sm3 0.2743 0.2424 0.5174
Sm4 0.2743 0.2576 0.0174
Sm5 0.2753 0.7435 0.0173
Sm6 0.2753 0.7565 0.5173
Sm7 0.7247 0.2435 0.4827
Sm8 0.7247 0.2565 0.9827
Sm9 0.7257 0.7424 0.9826
Sm10 0.7257 0.7576 0.4826
Sm11 0.7782 0.9999 0.7430
Sm12 0.7782 0.5001 0.2430
Mg1 0.2505 0.9997 0.7505
Mg2 0.2505 0.5003 0.2505
Mg3 0.7495 0.0003 0.2495
Mg4 0.7495 0.4997 0.7495
N1 0.5000 0.0000 0.5000
N2 0.5000 0.5000 0.0000

Calculated values
Total moment in μB per atom: 0.000
Electronic total energy in eV/cell: -85.335
Space group: P2_1/c (14)

## SmMg2TaN4 (PBE)

Data for an optimized crystal structure of SmMg2TaN4.

a = 7.2772 Å, b = 6.0703 Å, c = 5.3746 Å
α = 90.00°, β = 90.00°, γ = 90.00°
Positions (direct):
Sm1 0.0000 0.1682 0.0000
Sm2 0.5000 0.8318 0.5000
Mg1 0.2492 0.3337 0.5129
Mg2 0.2508 0.6663 0.0129
Mg3 0.7492 0.6663 0.0129
Mg4 0.7508 0.3337 0.5129
Ta1 0.0000 0.8131 0.5193
Ta2 0.5000 0.1869 0.0193
N1 0.0000 0.1354 0.4506
N2 0.0000 0.8008 0.8818
N3 0.2228 0.6635 0.4044
N4 0.2772 0.3365 0.9044
N5 0.5000 0.1992 0.3818
N6 0.5000 0.8646 0.9506
N7 0.7228 0.3365 0.9044
N8 0.7772 0.6635 0.4044

Calculated values
Total moment in μB per atom: 0.000
Electronic total energy in eV/cell: -124.988
Space group: Pmn2_1 (31)